1.
VASP calculation (PBE) on crystalline CuIrCl2 at its relaxed geometry.

The structure in POSCAR format:
```
CuIrCl2
1.0
-2.814 2.814 5.051
2.814 -2.814 5.051
2.814 2.814 -5.051
Cu Ir Cl
2 2 4
direct
0.000 0.000 0.000 Cu
0.750 0.250 0.500 Cu
0.250 0.750 0.500 Ir
0.500 0.500 0.000 Ir
0.115 0.625 0.990 Cl
0.375 0.365 0.490 Cl
0.635 0.125 0.010 Cl
0.875 0.885 0.510 Cl
```

Results
Symmetry = I-42d
Distance to the lowest polymorph of the same formula = 2.16 eV/f.u.
ΔE_f (raw) = 0.57 eV/atom

---

2.
VASP calculation (PBE) on crystalline Cu2IrCl at its relaxed geometry.

The structure in POSCAR format:
```
Cu2IrCl
1.0
0.000 3.088 3.088
3.088 0.000 3.088
3.088 3.088 0.000
Cu Ir Cl
2 1 1
direct
0.250 0.250 0.250 Cu
0.750 0.750 0.750 Cu
0.000 0.000 0.000 Ir
0.500 0.500 0.500 Cl
```

Results
Symmetry = Fm-3m
Distance to the lowest polymorph of the same formula = 2.51 eV/f.u.
ΔE_f (raw) = 0.84 eV/atom

---

3.
VASP calculation (PBE) on crystalline CuIrCl2 at its relaxed geometry.

The structure in POSCAR format:
```
CuIrCl2
1.0
3.710 0.000 0.000
0.000 3.244 0.000
-1.560 0.000 7.191
Cu Ir Cl
1 1 2
direct
0.000 0.000 0.000 Cu
0.455 0.500 0.892 Ir
0.338 0.000 0.660 Cl
0.645 0.500 0.214 Cl
```

Results
Symmetry = Pm
Distance to the lowest polymorph of the same formula = 0.29 eV/f.u.
ΔE_f (raw) = 0.10 eV/atom

---

4.
VASP calculation (PBE) on crystalline Cu2IrCl at its relaxed geometry.

The structure in POSCAR format:
```
Cu2IrCl
1.0
2.882 0.000 0.000
0.000 2.882 0.000
0.000 0.000 7.098
Cu Ir Cl
2 1 1
direct
0.000 0.000 0.238 Cu
0.000 0.000 0.762 Cu
0.500 0.500 0.000 Ir
0.500 0.500 0.500 Cl
```

Results
Symmetry = P4/mmm
Distance to the lowest polymorph of the same formula = 0.45 eV/f.u.
ΔE_f (raw) = 0.33 eV/atom

---

5.
VASP calculation (PBE) on crystalline CuIrCl2 at its relaxed geometry.

The structure in POSCAR format:
```
CuIrCl2
1.0
2.948 0.000 0.000
0.000 3.887 0.000
0.000 0.000 6.360
Cu Ir Cl
1 1 2
direct
0.000 0.000 0.000 Cu
0.500 0.000 0.500 Ir
0.000 0.500 0.500 Cl
0.500 0.500 0.000 Cl
```

Results
Symmetry = Pmmm
Distance to the lowest polymorph of the same formula = 2.04 eV/f.u.
ΔE_f (raw) = 0.54 eV/atom

---

6.
VASP calculation (PBE) on crystalline Cu2IrCl at its relaxed geometry.

The structure in POSCAR format:
```
Cu2IrCl
1.0
3.817 0.000 0.000
0.000 3.817 0.000
0.000 0.000 3.905
Cu Ir Cl
2 1 1
direct
0.000 0.500 0.000 Cu
0.500 0.000 0.000 Cu
0.000 0.000 0.500 Ir
0.500 0.500 0.500 Cl
```

Results
Symmetry = P4/mmm
Distance to the lowest polymorph of the same formula = 1.99 eV/f.u.
ΔE_f (raw) = 0.71 eV/atom

---

7.
VASP calculation (PBE) on crystalline CuIr3Cl at its relaxed geometry.

The structure in POSCAR format:
```
CuIr3Cl
1.0
4.601 0.000 0.000
0.000 4.601 0.000
0.000 0.000 4.601
Cu Ir Cl
1 3 1
direct
0.000 0.000 0.000 Cu
0.000 0.000 0.500 Ir
0.000 0.500 0.000 Ir
0.500 0.000 0.000 Ir
0.500 0.500 0.500 Cl
```

Results
Symmetry = Pm-3m
Distance to the lowest polymorph of the same formula = 2.01 eV/f.u.
ΔE_f (raw) = 2.02 eV/atom

---

8.
VASP calculation (PBE) on crystalline Cu3IrCl at its relaxed geometry.

The structure in POSCAR format:
```
Cu3IrCl
1.0
4.285 0.000 0.000
0.000 4.285 0.000
0.000 0.000 4.285
Cu Ir Cl
3 1 1
direct
0.000 0.000 0.500 Cu
0.000 0.500 0.000 Cu
0.500 0.000 0.000 Cu
0.500 0.500 0.500 Ir
0.000 0.000 0.000 Cl
```

Results
Symmetry = Pm-3m
Distance to the lowest polymorph of the same formula = 0.37 eV/f.u.
ΔE_f (raw) = 1.08 eV/atom

---

9.
VASP calculation (PBE) on crystalline CuIrCl2 at its relaxed geometry.

The structure in POSCAR format:
```
CuIrCl2
1.0
3.073 -3.807 0.000
3.073 3.807 0.000
-0.019 0.000 3.015
Cu Ir Cl
1 1 2
direct
0.000 0.000 0.000 Cu
0.500 0.500 0.000 Ir
0.000 0.500 0.000 Cl
0.500 0.000 0.000 Cl
```

Results
Symmetry = C2/m
Distance to the lowest polymorph of the same formula = 1.71 eV/f.u.
ΔE_f (raw) = 0.46 eV/atom

---

10.
VASP calculation (PBE) on crystalline Cu2IrCl at its relaxed geometry.

The structure in POSCAR format:
```
Cu2IrCl
1.0
2.882 0.000 0.000
0.000 4.429 0.000
0.000 0.000 4.437
Cu Ir Cl
2 1 1
direct
0.000 0.000 0.000 Cu
0.500 0.000 0.500 Cu
0.000 0.500 0.500 Ir
0.500 0.500 0.000 Cl
```

Results
Symmetry = Pmmm
Distance to the lowest polymorph of the same formula = 1.61 eV/f.u.
ΔE_f (raw) = 0.62 eV/atom

---

11.
VASP calculation (PBE) on crystalline CuIr4Cl at its relaxed geometry.

The structure in POSCAR format:
```
CuIr4Cl
1.0
0.000 3.717 3.717
3.717 0.000 3.717
3.717 3.717 0.000
Cu Ir Cl
1 4 1
direct
0.000 0.000 0.000 Cu
0.375 0.375 0.375 Ir
0.375 0.375 0.875 Ir
0.375 0.875 0.375 Ir
0.875 0.375 0.375 Ir
0.750 0.750 0.750 Cl
```

Results
Symmetry = F-43m
ΔE_f (raw) = 1.08 eV/atom

---

12.
VASP calculation (PBE) on crystalline CuIrCl2 at its relaxed geometry.

The structure in POSCAR format:
```
CuIrCl2
1.0
1.506 -2.872 0.000
1.506 2.872 0.000
0.000 0.000 7.712
Cu Ir Cl
1 1 2
direct
0.000 0.000 0.000 Cu
0.000 0.000 0.500 Ir
0.500 0.500 0.240 Cl
0.500 0.500 0.760 Cl
```

Results
Symmetry = Cmmm
Distance to the lowest polymorph of the same formula = 1.87 eV/f.u.
ΔE_f (raw) = 0.50 eV/atom

---

What is the ΔE_f (raw) in the third record? 0.10 eV/atom